(1)
# LaDy2Cu2Si2

A relaxed structure of LaDy2Cu2Si2 (PBE, the Alexandria database).

ΔE_f (raw)   -491.6 meV per atom
VASP energy   -5.23 eV/atom

Lattice parameters (Å, degrees): 4.2616 4.2616 28.6136 90.00 90.00 120.00
Space group R-3m (No. 166, hexagonal axes)
One atom of each set of equivalent atoms:
La 0.0000 0.0000 0.0000 [3 per cell]
Dy 0.0000 0.0000 0.1283 [6 per cell]
Cu 0.0000 0.0000 0.4070 [6 per cell]
Si 0.0000 0.0000 0.2583 [6 per cell]


(2)
# LaDyCuSn

A relaxed structure of LaDyCuSn (PBE, the Alexandria database).

VASP energy   -4.83 eV/atom

Lattice parameters (Å, degrees): 7.4881 7.4881 7.4881 90.00 90.00 90.00
Space group F-43m (No. 216)
One atom of each set of equivalent atoms:
La 0.0000 0.0000 0.0000 [4 per cell]
Dy 0.0000 0.0000 0.5000 [4 per cell]
Cu 0.2500 0.2500 0.2500 [4 per cell]
Sn 0.2500 0.2500 0.7500 [4 per cell]


What did the second record say?
# LaDyCuSn

A relaxed structure of LaDyCuSn (PBE, the Alexandria database).

VASP energy   -4.83 eV/atom

Lattice parameters (Å, degrees): 7.4881 7.4881 7.4881 90.00 90.00 90.00
Space group F-43m (No. 216)
One atom of each set of equivalent atoms:
La 0.0000 0.0000 0.0000 [4 per cell]
Dy 0.0000 0.0000 0.5000 [4 per cell]
Cu 0.2500 0.2500 0.2500 [4 per cell]
Sn 0.2500 0.2500 0.7500 [4 per cell]


Question: What is the formula in the second record?
Answer: LaDyCuSn


Question: Which of these has the highest VASP energy?
Answer: LaDyCuSn